[1]
This record from Alexandria via LeMat-Bulk describes a geometry-optimized HfTlTe3 structure. The functional is GGA-PBE.

The structure belongs to space group Pm-3m (No. 221); the cell edges are 5.616, 5.616 and 5.616 Å and the angles 90.00°, 90.00° and 90.00°. Symmetry generates all atoms from Hf at (0.000, 0.000, 0.000), Tl at (0.500, 0.500, 0.500) and Te at (0.000, 0.000, 0.500).

Its energy is -4.74 eV/atom. The offset from the most stable computed form comes out at 0.655 eV/f.u. The uncorrected formation energy is -0.394 eV per atom. The theoretical density is 7.18 Mg/m³.

---

[2]
This record from Alexandria via LeMat-Bulk describes a geometry-optimized H2S6I structure. The functional is GGA-PBE.

The structure belongs to space group C2/m (No. 12); the cell edges are 6.736, 19.452 and 4.585 Å and the angles 90.00°, 110.31° and 90.00°. Symmetry generates all atoms from H at (0.017, 0.000, 0.419), S at (0.000, 0.309, 0.500), S at (0.113, 0.373, 0.224) and I at (0.000, 0.000, 0.000).

Its energy is -3.54 eV/atom. The theoretical density is 1.89 Mg/m³.

---

[3]
This record from Alexandria via LeMat-Bulk describes a geometry-optimized GaSeCl structure. The functional is GGA-PBE.

The structure belongs to space group Pmn2_1 (No. 31); the cell edges are 3.855, 8.071 and 5.609 Å and the angles 90.00°, 90.00° and 90.00°. Symmetry generates all atoms from Ga at (0.000, 0.115, 0.000), Se at (0.000, 0.854, 0.225) and Cl at (0.000, 0.335, 0.222).

Its energy is -3.65 eV/atom. The uncorrected formation energy is -0.859 eV per atom. The theoretical density is 3.50 Mg/m³.

---

[4]
This record from Alexandria via LeMat-Bulk describes a geometry-optimized Rb2CePm2S6 structure. The functional is GGA-PBE.

The structure belongs to space group C2/m (No. 12); the cell edges are 7.186, 12.396 and 8.201 Å and the angles 90.00°, 107.15° and 90.00°. Symmetry generates all atoms from Rb at (0.000, 0.169, 0.000), Ce at (0.000, 0.000, 0.500), Pm at (0.000, 0.334, 0.500), S at (0.224, 0.164, 0.688) and S at (0.242, 0.500, 0.688).

Its energy is -5.66 eV/atom. The uncorrected formation energy is -1.828 eV per atom. The theoretical density is 3.77 Mg/m³.

---

[5]
This record from Alexandria via LeMat-Bulk describes a geometry-optimized Tb6Ni2Rh structure. The functional is GGA-PBE.

The structure belongs to space group Immm (No. 71); the cell edges are 9.489, 9.523 and 9.547 Å and the angles 90.00°, 90.00° and 90.00°. Symmetry generates all atoms from Tb at (0.000, 0.184, 0.242), Tb at (0.188, 0.500, 0.328), Tb at (0.238, 0.326, 0.000), Ni at (0.000, 0.334, 0.500), Ni at (0.000, 0.500, 0.119), Rh at (0.000, 0.000, 0.000) and Rh at (0.000, 0.000, 0.500).

Its energy is -5.58 eV/atom. Its formation energy is -395 meV per atom. The offset from the most stable computed form comes out at 0.000 eV/f.u. The theoretical density is 9.04 Mg/m³.

---

[6]
This record from Alexandria via LeMat-Bulk describes a geometry-optimized MnBr4 structure. The functional is GGA-PBE.

The structure belongs to space group Pm-3m (No. 221); the cell edges are 5.165, 5.165 and 5.165 Å and the angles 90.00°, 90.00° and 90.00°. Symmetry generates all atoms from Mn at (0.000, 0.000, 0.000), Br at (0.000, 0.000, 0.500) and Br at (0.500, 0.500, 0.500).

Its energy is -3.31 eV/atom. The uncorrected formation energy is -0.133 eV per atom. The theoretical density is 4.51 Mg/m³.